## Pm2FeSe2O2 (GGA+U)

Data for a relaxed Pm2FeSe2O2 crystal.

Structure (CIF):
```
data_Pm2FeSe2O2
_chemical_formula_sum 'Pm2 Fe1 Se2 O2'
_space_group_name_H-M_alt 'P 1'
_space_group_IT_number 1
_space_group_name_Hall 'P 1'
_cell_length_a 6.029
_cell_length_b 6.029
_cell_length_c 7.120
_cell_angle_alpha 119.50
_cell_angle_beta 119.50
_cell_angle_gamma 37.61
loop_
_atom_site_label
_atom_site_type_symbol
_atom_site_fract_x
_atom_site_fract_y
_atom_site_fract_z
_atom_site_occupancy
Pm1 Pm 0.191 0.191 0.245 1
Pm2 Pm 0.809 0.809 0.755 1
Fe1 Fe 0.000 0.000 0.500 1
Se1 Se 0.437 0.437 0.174 1
Se2 Se 0.563 0.563 0.826 1
O1 O 0.196 0.196 0.581 1
O2 O 0.804 0.804 0.419 1
```

Values from the calculation:
Space-group type: C2/m (12)
Calculated density, kg/m³: 6596
Total DFT energy (no corrections), eV per formula unit: -47.8
DOS(E_F), states/eV/f.u.: 0.00